Here is a relaxed DyZnIn crystal from Alexandria. Energies are from PBE.

a = 4.6807 Å, b = 4.6807 Å, c = 14.4251 Å
α = 90.00°, β = 90.00°, γ = 120.00°
Atoms (fractional coordinates):
In1 0.6667 0.3333 0.3755
Dy1 0.0000 0.0000 0.5000
Dy2 0.0000 0.0000 0.7500
In2 0.6667 0.3333 0.1245
Zn1 0.3333 0.6667 0.1144
Zn2 0.6667 0.3333 0.8856
Dy3 0.0000 0.0000 0.0000
In3 0.3333 0.6667 0.8755
Zn3 0.6667 0.3333 0.6144
In4 0.3333 0.6667 0.6245
Zn4 0.3333 0.6667 0.3856
Dy4 0.0000 0.0000 0.2500

## Properties
ΔH_f (0 K), kJ/mol of formula units: -123
Density of states at the Fermi level, states/eV per cell: 5.9


Here is a relaxed Dy2ZnIn crystal from Alexandria. Energies are from PBE.

a = 5.1968 Å, b = 5.1975 Å, c = 5.1975 Å
α = 59.99°, β = 60.00°, γ = 60.00°
Atoms (fractional coordinates):
Dy1 0.0000 0.0000 0.0000
Dy2 0.5000 0.5000 0.5000
Zn1 0.7500 0.7500 0.7500
In1 0.2500 0.2500 0.2500

## Properties
ΔH_f (0 K), kJ/mol of formula units: -154
Density of states at the Fermi level, states/eV per cell: 3.5


Here is a relaxed Dy3Zn2In4 crystal from Alexandria. Energies are from PBE.

a = 4.7573 Å, b = 5.9790 Å, c = 9.0417 Å
α = 113.48°, β = 90.00°, γ = 113.44°
Atoms (fractional coordinates):
Zn1 0.3864 0.7728 0.7155
Zn2 0.6136 0.2272 0.2845
In1 0.2828 0.5655 0.9363
In2 0.7172 0.4345 0.0637
In3 0.0578 0.1156 0.3832
Dy1 0.6659 0.3318 0.6632
In4 0.9422 0.8844 0.6168
Dy2 0.3341 0.6682 0.3368
Dy3 0.0000 0.0000 0.0000

## Properties
ΔH_f (0 K), kJ/mol of formula units: -362
Density of states at the Fermi level, states/eV per cell: 5.3


Here is a relaxed Dy3Zn8In3 crystal from Alexandria. Energies are from PBE.

a = 4.3535 Å, b = 8.4364 Å, c = 8.4364 Å
α = 71.49°, β = 75.05°, γ = 75.05°
Atoms (fractional coordinates):
In1 0.0000 0.7824 0.2176
Dy1 0.1978 0.8022 0.8022
Zn1 0.3452 0.3909 0.9188
Zn2 0.8342 0.7902 0.5414
Zn3 0.6548 0.0812 0.6091
In2 0.0000 0.2176 0.7824
Zn4 0.3452 0.9188 0.3909
Zn5 0.8342 0.5414 0.7902
In3 0.5000 0.0000 0.0000
Zn6 0.1658 0.2098 0.4586
Zn7 0.6548 0.6091 0.0812
Dy2 0.5000 0.5000 0.5000
Zn8 0.1658 0.4586 0.2098
Dy3 0.8022 0.1978 0.1978

## Properties
ΔH_f (0 K), kJ/mol of formula units: -434
Density of states at the Fermi level, states/eV per cell: 4.6


Number 2 is which compound? Dy2ZnIn


Which of these has the highest density of states at the Fermi level? DyZnIn


Which formula does entry 4 have? Dy3Zn8In3


Repeat the first record exactly.
Here is a relaxed DyZnIn crystal from Alexandria. Energies are from PBE.

a = 4.6807 Å, b = 4.6807 Å, c = 14.4251 Å
α = 90.00°, β = 90.00°, γ = 120.00°
Atoms (fractional coordinates):
In1 0.6667 0.3333 0.3755
Dy1 0.0000 0.0000 0.5000
Dy2 0.0000 0.0000 0.7500
In2 0.6667 0.3333 0.1245
Zn1 0.3333 0.6667 0.1144
Zn2 0.6667 0.3333 0.8856
Dy3 0.0000 0.0000 0.0000
In3 0.3333 0.6667 0.8755
Zn3 0.6667 0.3333 0.6144
In4 0.3333 0.6667 0.6245
Zn4 0.3333 0.6667 0.3856
Dy4 0.0000 0.0000 0.2500

## Properties
ΔH_f (0 K), kJ/mol of formula units: -123
Density of states at the Fermi level, states/eV per cell: 5.9